(1)
# Dy5InGe2, optimized geometry, DFT GGA-PBE
data_Dy5InGe2
_chemical_formula_sum 'Dy20 In4 Ge8'
_cell_length_a 7.841
_cell_length_b 7.841
_cell_length_c 13.805
_cell_angle_alpha 90.00
_cell_angle_beta 90.00
_cell_angle_gamma 90.00
_space_group_name_H-M_alt 'I 4/m c m'
_space_group_IT_number 140
_space_group_name_Hall '-I 4 2c'
loop_
_atom_site_label
_atom_site_fract_x
_atom_site_fract_y
_atom_site_fract_z
Dy1 0.000 0.000 0.000
Dy2 0.160 0.340 0.141
In1 0.000 0.000 0.250
Ge1 0.143 0.357 0.500
# - total energy (eV per atom) = -5.0234
# - energy relative to the elements (kJ per mole of atoms) = -63



(2)
# DyInGe4, optimized geometry, DFT GGA-PBE
data_DyInGe4
_chemical_formula_sum 'Dy4 In4 Ge16'
_cell_length_a 7.968
_cell_length_b 7.968
_cell_length_c 7.968
_cell_angle_alpha 90.00
_cell_angle_beta 90.00
_cell_angle_gamma 90.00
_space_group_name_H-M_alt 'F -4 3 m'
_space_group_IT_number 216
_space_group_name_Hall 'F -4 2 3'
loop_
_atom_site_label
_atom_site_fract_x
_atom_site_fract_y
_atom_site_fract_z
Dy1 0.000 0.000 0.000
In1 0.250 0.250 0.250
Ge1 0.125 0.125 0.625
# - total energy (eV per atom) = -4.4482
# - energy relative to the elements (kJ per mole of atoms) = -14



(3)
# Dy2InGe, optimized geometry, DFT GGA-PBE
data_Dy2InGe
_chemical_formula_sum 'Dy6 In3 Ge3'
_cell_length_a 3.8926
_cell_length_b 3.8926
_cell_length_c 25.0737
_cell_angle_alpha 90.00
_cell_angle_beta 90.00
_cell_angle_gamma 120.00
_space_group_name_H-M_alt 'R -3 m'
_space_group_IT_number 166
_space_group_name_Hall '-R 3 2"'
loop_
_atom_site_label
_atom_site_fract_x
_atom_site_fract_y
_atom_site_fract_z
Dy1 0.0000 0.0000 0.2388
In1 0.0000 0.0000 0.0000
Ge1 0.0000 0.0000 0.5000
# - total energy (eV per atom) = -4.6252
# - energy relative to the elements (kJ per mole of atoms) = -47



(4)
# Dy2InGe2, optimized geometry, DFT GGA-PBE
data_Dy2InGe2
_chemical_formula_sum 'Dy4 In2 Ge4'
_cell_length_a 3.879
_cell_length_b 14.772
_cell_length_c 4.119
_cell_angle_alpha 90.00
_cell_angle_beta 90.00
_cell_angle_gamma 90.00
_space_group_name_H-M_alt 'C m m m'
_space_group_IT_number 65
_space_group_name_Hall '-C 2 2'
loop_
_atom_site_label
_atom_site_fract_x
_atom_site_fract_y
_atom_site_fract_z
Dy1 0.000 0.137 0.000
In1 0.000 0.500 0.500
Ge1 0.000 0.306 0.500
# - total energy (eV per atom) = -4.8716
# - energy relative to the elements (kJ per mole of atoms) = -61



(5)
# Dy7In2Ge2, optimized geometry, DFT GGA-PBE
data_Dy7In2Ge2
_chemical_formula_sum 'Dy14 In4 Ge4'
_cell_length_a 8.264
_cell_length_b 10.925
_cell_length_c 7.126
_cell_angle_alpha 90.00
_cell_angle_beta 90.00
_cell_angle_gamma 90.00
_space_group_name_H-M_alt 'C m m m'
_space_group_IT_number 65
_space_group_name_Hall '-C 2 2'
loop_
_atom_site_label
_atom_site_fract_x
_atom_site_fract_y
_atom_site_fract_z
Dy1 0.000 0.000 0.000
Dy2 0.000 0.500 0.253
Dy3 0.250 0.250 0.268
In1 0.175 0.000 0.500
Ge1 0.000 0.281 0.000
# - total energy (eV per atom) = -4.6032
# - energy relative to the elements (kJ per mole of atoms) = -33



(6)
# Dy2InGe, optimized geometry, DFT GGA-PBE
data_Dy2InGe
_chemical_formula_sum 'Dy2 In1 Ge1'
_cell_length_a 4.860
_cell_length_b 4.860
_cell_length_c 4.150
_cell_angle_alpha 90.00
_cell_angle_beta 90.00
_cell_angle_gamma 90.00
_space_group_name_H-M_alt 'P 4/m m m'
_space_group_IT_number 123
_space_group_name_Hall '-P 4 2'
loop_
_atom_site_label
_atom_site_fract_x
_atom_site_fract_y
_atom_site_fract_z
Dy1 0.000 0.500 0.000
In1 0.000 0.000 0.500
Ge1 0.500 0.500 0.500
# - total energy (eV per atom) = -4.6609
# - energy relative to the elements (kJ per mole of atoms) = -50



(7)
# DyInGe2, optimized geometry, DFT GGA-PBE
data_DyInGe2
_chemical_formula_sum 'Dy3 In3 Ge6'
_cell_length_a 4.6839
_cell_length_b 4.6839
_cell_length_c 21.8820
_cell_angle_alpha 90.00
_cell_angle_beta 90.00
_cell_angle_gamma 120.00
_space_group_name_H-M_alt 'R -3 m'
_space_group_IT_number 166
_space_group_name_Hall '-R 3 2"'
loop_
_atom_site_label
_atom_site_fract_x
_atom_site_fract_y
_atom_site_fract_z
Dy1 0.0000 0.0000 0.0000
In1 0.0000 0.0000 0.5000
Ge1 0.0000 0.0000 0.3803
# - total energy (eV per atom) = -3.9339
# - energy relative to the elements (kJ per mole of atoms) = 20



(8)
# Dy2InGe2, optimized geometry, DFT GGA-PBE
data_Dy2InGe2
_chemical_formula_sum 'Dy4 In2 Ge4'
_cell_length_a 7.428
_cell_length_b 7.428
_cell_length_c 4.174
_cell_angle_alpha 90.00
_cell_angle_beta 90.00
_cell_angle_gamma 90.00
_space_group_name_H-M_alt 'P 4/m b m'
_space_group_IT_number 127
_space_group_name_Hall '-P 4 2ab'
loop_
_atom_site_label
_atom_site_fract_x
_atom_site_fract_y
_atom_site_fract_z
Dy1 0.178 0.322 0.000
In1 0.000 0.000 0.500
Ge1 0.121 0.621 0.500
# - total energy (eV per atom) = -4.9386
# - energy relative to the elements (kJ per mole of atoms) = -68



(9)
# Dy5In2Ge2, optimized geometry, DFT GGA-PBE
data_Dy5In2Ge2
_chemical_formula_sum 'Dy20 In8 Ge8'
_cell_length_a 15.730
_cell_length_b 7.784
_cell_length_c 7.780
_cell_angle_alpha 90.00
_cell_angle_beta 90.00
_cell_angle_gamma 90.00
_space_group_name_H-M_alt 'C m c e'
_space_group_IT_number 64
_space_group_name_Hall '-C 2ac 2'
loop_
_atom_site_label
_atom_site_fract_x
_atom_site_fract_y
_atom_site_fract_z
Dy1 0.000 0.000 0.000
Dy2 0.126 0.177 0.327
In1 0.217 0.000 0.000
Ge1 0.000 0.130 0.633
# - total energy (eV per atom) = -4.8054
# - energy relative to the elements (kJ per mole of atoms) = -59



(10)
# LiDyInGe, optimized geometry, DFT GGA-PBE
data_LiDyInGe
_chemical_formula_sum 'Li4 Dy4 In4 Ge4'
_cell_length_a 7.064
_cell_length_b 7.064
_cell_length_c 7.064
_cell_angle_alpha 90.00
_cell_angle_beta 90.00
_cell_angle_gamma 90.00
_space_group_name_H-M_alt 'F -4 3 m'
_space_group_IT_number 216
_space_group_name_Hall 'F -4 2 3'
loop_
_atom_site_label
_atom_site_fract_x
_atom_site_fract_y
_atom_site_fract_z
Li1 0.000 0.000 0.000
Dy1 0.000 0.000 0.500
In1 0.250 0.250 0.750
Ge1 0.250 0.250 0.250
# - total energy (eV per atom) = -3.8253
# - energy relative to the elements (kJ per mole of atoms) = -34



(11)
# Dy4InNi2Ge4, optimized geometry, DFT GGA-PBE
data_Dy4InNi2Ge4
_chemical_formula_sum 'Dy8 In2 Ni4 Ge8'
_cell_length_a 15.525
_cell_length_b 4.249
_cell_length_c 7.058
_cell_angle_alpha 90.00
_cell_angle_beta 108.71
_cell_angle_gamma 90.00
_space_group_name_H-M_alt 'C 1 2/m 1'
_space_group_IT_number 12
loop_
_space_group_symop_operation_xyz
'x,y,z'
'-x,-y,-z'
'-x,y,-z'
'x,-y,z'
'x+1/2,y+1/2,z'
'-x+1/2,-y+1/2,-z'
'-x+1/2,y+1/2,-z'
'x+1/2,-y+1/2,z'
loop_
_atom_site_label
_atom_site_fract_x
_atom_site_fract_y
_atom_site_fract_z
Dy1 0.092 0.000 0.392
Dy2 0.156 0.000 0.938
In1 0.000 0.500 0.000
Ni1 0.216 0.500 0.650
Ge1 0.065 0.500 0.663
Ge2 0.205 0.500 0.277
# - total energy (eV per atom) = -5.4370
# - energy relative to the elements (kJ per mole of atoms) = -76



(12)
# Dy2InNi4Ge3, optimized geometry, DFT GGA-PBE
data_Dy2InNi4Ge3
_chemical_formula_sum 'Dy2 In1 Ni4 Ge3'
_cell_length_a 4.108
_cell_length_b 4.108
_cell_length_c 10.014
_cell_angle_alpha 90.00
_cell_angle_beta 90.00
_cell_angle_gamma 90.00
_space_group_name_H-M_alt 'P -4 m 2'
_space_group_IT_number 115
loop_
_space_group_symop_operation_xyz
'x,y,z'
'y,-x,-z'
'-x,-y,z'
'-y,x,-z'
'-x,y,z'
'-y,-x,-z'
'x,-y,z'
'y,x,-z'
loop_
_atom_site_label
_atom_site_fract_x
_atom_site_fract_y
_atom_site_fract_z
Dy1 0.000 0.500 0.237
In1 0.000 0.000 0.500
Ni1 0.000 0.000 0.000
Ni2 0.000 0.500 0.647
Ni3 0.500 0.500 0.000
Ge1 0.000 0.500 0.878
Ge2 0.500 0.500 0.500
# - total energy (eV per atom) = -5.4913
# - energy relative to the elements (kJ per mole of atoms) = -58



(13)
# DyInNi5Ge2, optimized geometry, DFT GGA-PBE
data_DyInNi5Ge2
_chemical_formula_sum 'Dy1 In1 Ni5 Ge2'
_cell_length_a 4.314
_cell_length_b 4.314
_cell_length_c 7.514
_cell_angle_alpha 90.00
_cell_angle_beta 90.00
_cell_angle_gamma 90.00
_space_group_name_H-M_alt 'P 4/m m m'
_space_group_IT_number 123
_space_group_name_Hall '-P 4 2'
loop_
_atom_site_label
_atom_site_fract_x
_atom_site_fract_y
_atom_site_fract_z
Dy1 0.000 0.000 0.000
In1 0.000 0.000 0.500
Ni1 0.000 0.500 0.222
Ni2 0.500 0.500 0.000
Ge1 0.500 0.500 0.335
# - total energy (eV per atom) = -5.2330
# - energy relative to the elements (kJ per mole of atoms) = -17



(14)
# Dy2InGe3Pd4, optimized geometry, DFT GGA-PBE
data_Dy2InGe3Pd4
_chemical_formula_sum 'Dy2 In1 Ge3 Pd4'
_cell_length_a 4.191
_cell_length_b 4.191
_cell_length_c 11.010
_cell_angle_alpha 90.00
_cell_angle_beta 90.00
_cell_angle_gamma 90.00
_space_group_name_H-M_alt 'P -4 m 2'
_space_group_IT_number 115
loop_
_space_group_symop_operation_xyz
'x,y,z'
'y,-x,-z'
'-x,-y,z'
'-y,x,-z'
'-x,y,z'
'-y,-x,-z'
'x,-y,z'
'y,x,-z'
loop_
_atom_site_label
_atom_site_fract_x
_atom_site_fract_y
_atom_site_fract_z
Dy1 0.000 0.500 0.238
In1 0.000 0.000 0.500
Ge1 0.000 0.500 0.872
Ge2 0.500 0.500 0.500
Pd1 0.000 0.000 0.000
Pd2 0.000 0.500 0.653
Pd3 0.500 0.500 0.000
# - total energy (eV per atom) = -5.3978
# - energy relative to the elements (kJ per mole of atoms) = -72



(15)
# PmDyInGe, optimized geometry, DFT GGA-PBE
data_PmDyInGe
_chemical_formula_sum 'Pm4 Dy4 In4 Ge4'
_cell_length_a 7.443
_cell_length_b 7.443
_cell_length_c 7.443
_cell_angle_alpha 90.00
_cell_angle_beta 90.00
_cell_angle_gamma 90.00
_space_group_name_H-M_alt 'F -4 3 m'
_space_group_IT_number 216
_space_group_name_Hall 'F -4 2 3'
loop_
_atom_site_label
_atom_site_fract_x
_atom_site_fract_y
_atom_site_fract_z
Pm1 0.000 0.000 0.000
Dy1 0.000 0.000 0.500
In1 0.250 0.250 0.250
Ge1 0.250 0.250 0.750
# - total energy (eV per atom) = -4.6624
# - energy relative to the elements (kJ per mole of atoms) = -47



(16)
# Dy2InGe3Pt4, optimized geometry, DFT GGA-PBE
data_Dy2InGe3Pt4
_chemical_formula_sum 'Dy2 In1 Ge3 Pt4'
_cell_length_a 4.213
_cell_length_b 4.213
_cell_length_c 10.971
_cell_angle_alpha 90.00
_cell_angle_beta 90.00
_cell_angle_gamma 90.00
_space_group_name_H-M_alt 'P -4 m 2'
_space_group_IT_number 115
loop_
_space_group_symop_operation_xyz
'x,y,z'
'y,-x,-z'
'-x,-y,z'
'-y,x,-z'
'-x,y,z'
'-y,-x,-z'
'x,-y,z'
'y,x,-z'
loop_
_atom_site_label
_atom_site_fract_x
_atom_site_fract_y
_atom_site_fract_z
Dy1 0.000 0.500 0.237
In1 0.000 0.000 0.500
Ge1 0.000 0.500 0.871
Ge2 0.500 0.500 0.500
Pt1 0.000 0.000 0.000
Pt2 0.000 0.500 0.653
Pt3 0.500 0.500 0.000
# - total energy (eV per atom) = -5.8359
# - energy relative to the elements (kJ per mole of atoms) = -81



(17)
# DyIn2Ge2Pt7, optimized geometry, DFT GGA-PBE
data_DyIn2Ge2Pt7
_chemical_formula_sum 'Dy2 In4 Ge4 Pt14'
_cell_length_a 5.657
_cell_length_b 5.681
_cell_length_c 14.634
_cell_angle_alpha 90.00
_cell_angle_beta 97.66
_cell_angle_gamma 90.00
_space_group_name_H-M_alt 'C 1 2/m 1'
_space_group_IT_number 12
loop_
_space_group_symop_operation_xyz
'x,y,z'
'-x,-y,-z'
'-x,y,-z'
'x,-y,z'
'x+1/2,y+1/2,z'
'-x+1/2,-y+1/2,-z'
'-x+1/2,y+1/2,-z'
'x+1/2,-y+1/2,z'
loop_
_atom_site_label
_atom_site_fract_x
_atom_site_fract_y
_atom_site_fract_z
Dy1 0.000 0.000 0.000
In1 0.109 0.000 0.403
Ge1 0.087 0.500 0.252
Pt1 0.000 0.500 0.000
Pt2 0.116 0.500 0.419
Pt3 0.199 0.250 0.850
# - total energy (eV per atom) = -5.7371
# - energy relative to the elements (kJ per mole of atoms) = -58



(18)
# Dy2InGe2Rh5, optimized geometry, DFT GGA-PBE
data_Dy2InGe2Rh5
_chemical_formula_sum 'Dy4 In2 Ge4 Rh10'
_cell_length_a 9.843
_cell_length_b 9.843
_cell_length_c 3.613
_cell_angle_alpha 90.00
_cell_angle_beta 90.00
_cell_angle_gamma 90.00
_space_group_name_H-M_alt 'P 4/m b m'
_space_group_IT_number 127
_space_group_name_Hall '-P 4 2ab'
loop_
_atom_site_label
_atom_site_fract_x
_atom_site_fract_y
_atom_site_fract_z
Dy1 0.175 0.325 0.000
In1 0.000 0.000 0.000
Ge1 0.123 0.623 0.000
Rh1 0.000 0.500 0.500
Rh2 0.069 0.788 0.500
# - total energy (eV per atom) = -6.6034
# - energy relative to the elements (kJ per mole of atoms) = -78



(19)
# DyInGe2Rh5, optimized geometry, DFT GGA-PBE
data_DyInGe2Rh5
_chemical_formula_sum 'Dy1 In1 Ge2 Rh5'
_cell_length_a 4.253
_cell_length_b 4.253
_cell_length_c 8.597
_cell_angle_alpha 90.00
_cell_angle_beta 90.00
_cell_angle_gamma 90.00
_space_group_name_H-M_alt 'P 4/m m m'
_space_group_IT_number 123
_space_group_name_Hall '-P 4 2'
loop_
_atom_site_label
_atom_site_fract_x
_atom_site_fract_y
_atom_site_fract_z
Dy1 0.000 0.000 0.000
In1 0.000 0.000 0.500
Ge1 0.500 0.500 0.360
Rh1 0.000 0.500 0.233
Rh2 0.500 0.500 0.000
# - total energy (eV per atom) = -6.3414
# - energy relative to the elements (kJ per mole of atoms) = -40



(20)
# Dy2InGe3Rh4, optimized geometry, DFT GGA-PBE
data_Dy2InGe3Rh4
_chemical_formula_sum 'Dy2 In1 Ge3 Rh4'
_cell_length_a 4.146
_cell_length_b 4.146
_cell_length_c 10.822
_cell_angle_alpha 90.00
_cell_angle_beta 90.00
_cell_angle_gamma 90.00
_space_group_name_H-M_alt 'P -4 m 2'
_space_group_IT_number 115
loop_
_space_group_symop_operation_xyz
'x,y,z'
'y,-x,-z'
'-x,-y,z'
'-y,x,-z'
'-x,y,z'
'-y,-x,-z'
'x,-y,z'
'y,x,-z'
loop_
_atom_site_label
_atom_site_fract_x
_atom_site_fract_y
_atom_site_fract_z
Dy1 0.000 0.500 0.239
In1 0.000 0.000 0.500
Ge1 0.000 0.500 0.874
Ge2 0.500 0.500 0.500
Rh1 0.000 0.000 0.000
Rh2 0.000 0.500 0.652
Rh3 0.500 0.500 0.000
# - total energy (eV per atom) = -6.2862
# - energy relative to the elements (kJ per mole of atoms) = -74